# PmHo3Bi4

A geometry-optimized PmHo3Bi4 structure (PBE, Alexandria via LeMat-Bulk).

Unit cell a=4.493 b=7.779 c=7.779 alpha=109.47 beta=90.00 gamma=90.00
Fractional coordinates of all 8 atoms:
Bi  0.000  0.745  0.745
Bi  0.000  0.255  0.255
Bi  0.500  0.253  0.747
Bi  0.500  0.747  0.253
Ho  0.000  0.000  0.500
Ho  0.500  0.500  0.500
Ho  0.000  0.500  0.000
Pm  0.500  0.000  0.000

**Fermi-level density of states**: 1.2 states/eV per cell
**Calculated formation energy**: -859 meV per atom

=====

# PmHo4Bi5

A geometry-optimized PmHo4Bi5 structure (PBE, Alexandria via LeMat-Bulk).

Unit cell a=4.485 b=6.343 c=11.863 alpha=105.51 beta=100.90 gamma=90.00
Fractional coordinates of all 10 atoms:
Bi  0.199  0.699  0.399
Bi  0.603  0.103  0.206
Bi  0.397  0.897  0.794
Bi  0.000  0.500  0.000
Bi  0.801  0.301  0.601
Ho  0.798  0.798  0.597
Ho  0.600  0.600  0.200
Ho  0.400  0.400  0.800
Ho  0.202  0.202  0.403
Pm  0.000  0.000  0.000

**Fermi-level density of states**: 2.0 states/eV per cell
**Calculated formation energy**: -855 meV per atom

=====

# PmHo3Bi4

A geometry-optimized PmHo3Bi4 structure (PBE, Alexandria via LeMat-Bulk).

Unit cell a=6.349 b=6.349 c=6.349 alpha=90.00 beta=90.00 gamma=90.00
Fractional coordinates of all 8 atoms:
Ho  0.000  0.500  0.500
Ho  0.500  0.500  0.000
Ho  0.500  0.000  0.500
Bi  0.000  0.500  0.000
Bi  0.000  0.000  0.500
Bi  0.500  0.500  0.500
Bi  0.500  0.000  0.000
Pm  0.000  0.000  0.000

**Fermi-level density of states**: 0.5 states/eV per cell
**Calculated formation energy**: -861 meV per atom

=====

# PmHoBi

A geometry-optimized PmHoBi structure (PBE, Alexandria via LeMat-Bulk).

Unit cell a=4.574 b=4.574 c=9.352 alpha=104.16 beta=104.16 gamma=90.00
Fractional coordinates of all 6 atoms:
Pm  0.823  0.823  0.646
Pm  0.177  0.177  0.354
Bi  0.364  0.364  0.729
Bi  0.636  0.636  0.271
Ho  0.000  0.500  0.000
Ho  0.500  0.000  0.000

**Fermi-level density of states**: 9.1 states/eV per cell
**Calculated formation energy**: -623 meV per atom

=====

Asked for E across the records above, the calculation gives -40.879; -51.014; -40.895; -30.155 eV for the cell shown in order.
Asked for calculated volume across the records above, the calculation gives 256.3; 318.9; 255.9; 183.6 Å³/cell in order.